# LaTa2NiPb, optimized geometry, DFT GGA-PBE
data_LaTa2NiPb
_chemical_formula_sum 'La1 Ta2 Ni1 Pb1'
_space_group_name_H-M_alt 'P 1'
_space_group_IT_number 1
_space_group_name_Hall 'P 1'
_cell_length_a 5.290
_cell_length_b 4.738
_cell_length_c 5.290
_cell_angle_alpha 90.00
_cell_angle_beta 90.00
_cell_angle_gamma 90.00
loop_
_atom_site_label
_atom_site_fract_x
_atom_site_fract_y
_atom_site_fract_z
Pb1 0.000 0.000 0.000
Ni1 0.000 0.500 0.000
La1 0.500 0.500 0.500
Ta1 0.000 0.000 0.500
Ta2 0.500 0.000 0.000
# Size of the total moment = 0.00 μB per formula unit
# Energy = -6.19 eV/atom
# Symmetry = P4/mmm, No. 123